Crystalline RbMg2Al at its relaxed geometry. Source: Alexandria via LeMat-Bulk, functional PBE.

- raw total energy (eV/atom) = -1.595
- E_form (eV/atom) = 0.379

Lattice parameters (Å, degrees): 9.875 9.875 9.875 142.87 142.87 53.53
Fractional coordinates of all 8 atoms:
Rb: 0.375 0.625 0.750
Rb: 0.625 0.375 0.250
Mg: 0.000 0.000 0.000
Mg: 0.000 0.000 0.500
Mg: 0.000 0.500 0.000
Mg: 0.500 0.000 0.500
Al: 0.125 0.875 0.250
Al: 0.875 0.125 0.750